Entry 1:
Computed, not measured: a geometry-optimized Na4CO4 structure at the PBE level of DFT.

Unit cell a=4.7467 b=4.7467 c=4.7467 alpha=89.73 beta=89.73 gamma=89.73
Fractional coordinates of all 9 atoms:
O1 0.0552 0.0550 0.7003
O2 0.7003 0.0552 0.0550
O3 0.7023 0.7023 0.7023
O4 0.0550 0.7003 0.0552
C1 0.8782 0.8782 0.8782
Na1 0.5958 0.1558 0.5952
Na2 0.1577 0.1577 0.1577
Na3 0.5952 0.5958 0.1558
Na4 0.1558 0.5952 0.5958

## Properties
As for the density of states at the Fermi level: 0.00 states/eV/atom. As for the distance to the lowest polymorph of the same formula: 249 meV/atom.

---

Entry 2:
Computed, not measured: a geometry-optimized Na2CO4 structure at the PBE level of DFT.

Unit cell a=5.2862 b=6.1396 c=6.1396 alpha=103.32 beta=90.00 gamma=90.00
Fractional coordinates of all 14 atoms:
O1 0.2500 0.9370 0.7603
O2 0.2500 0.2397 0.0630
O3 0.4613 0.2508 0.7492
O4 0.7500 0.0630 0.2397
O5 0.9613 0.7492 0.2508
O6 0.7500 0.7603 0.9370
O7 0.0387 0.2508 0.7492
O8 0.5387 0.7492 0.2508
C1 0.7500 0.8336 0.1664
C2 0.2500 0.1664 0.8336
Na1 0.7500 0.3678 0.0754
Na2 0.7500 0.9246 0.6322
Na3 0.2500 0.6322 0.9246
Na4 0.2500 0.0754 0.3678

## Properties
As for the density of states at the Fermi level: 0.63 states/eV/atom. As for the distance to the lowest polymorph of the same formula: 114 meV/atom.

---

Entry 3:
Computed, not measured: a geometry-optimized NaCO2 structure at the PBE level of DFT.

Unit cell a=5.2676 b=5.2676 c=5.2676 alpha=44.84 beta=44.84 gamma=44.84
Fractional coordinates of all 4 atoms:
O1 0.9151 0.9151 0.9151
O2 0.0849 0.0849 0.0849
C1 0.0000 0.0000 0.0000
Na1 0.5000 0.5000 0.5000

## Properties
As for the density of states at the Fermi level: 0.32 states/eV/atom.

---

Entry 4:
Computed, not measured: a geometry-optimized Na4CO4 structure at the PBE level of DFT.

Unit cell a=3.5131 b=6.9148 c=6.0084 alpha=103.85 beta=75.12 gamma=100.08
Fractional coordinates of all 9 atoms:
O1 0.3517 0.9116 0.5681
O2 0.5087 0.9852 0.2058
O3 0.2316 0.6729 0.2534
O4 0.9579 0.4582 0.7273
Na1 0.3435 0.4022 0.9434
Na2 0.9248 0.1505 0.5120
Na3 0.0369 0.7907 0.9310
Na4 0.5941 0.5650 0.5164
C1 0.3640 0.8548 0.3426

## Properties
As for the distance to the lowest polymorph of the same formula: 0 meV/atom.

---

no.,total moment (μB per formula unit),formation energy (no corrections) (meV/atom),calculated total energy (eV per cell)
1,0.0,-1248,-45.57
2,2.0,-1125,-79.15
3,0.0,-817,-23.73
4,0.0,-1497,-47.81